1.
This record from Alexandria describes ScSe3Cl after structural relaxation. The functional is PBE-GGA.

a b c (Å): 5.1559 5.1559 5.1559
angles (deg): 90.00 90.00 90.00
Space group Pm-3m (No. 221)
Symmetry-distinct sites (fractional):
Sc 0.0000 0.0000 0.0000
Se 0.0000 0.0000 0.5000
Cl 0.5000 0.5000 0.5000

Output
DOS(E_F)   5.817 states/eV per cell
Uncorrected energy   -3.94 eV per atom
ΔE_f (raw)   -21.04 kJ per mole of atoms
Energy above the lowest structure with this stoichiometry   0.0 kJ per mole of atoms

---

2.
This record from Alexandria describes VIn3Ir after structural relaxation. The functional is PBE-GGA.

a b c (Å): 5.0305 5.0305 5.0305
angles (deg): 90.00 90.00 90.00
Space group Pm-3m (No. 221)
Symmetry-distinct sites (fractional):
V 0.0000 0.0000 0.0000
In 0.0000 0.0000 0.5000
Ir 0.5000 0.5000 0.5000

Output
DOS(E_F)   5.166 states/eV per cell
Uncorrected energy   -3.93 eV per atom
ΔH_f (0 K)   1310 meV/atom

---

3.
This record from Alexandria describes LaCoCu after structural relaxation. The functional is PBE-GGA.

a b c (Å): 3.4200 3.4200 9.6707
angles (deg): 90.00 90.00 90.00
Space group I4mm (No. 107)
Symmetry-distinct sites (fractional):
La 0.0000 0.0000 0.0000
Co 0.0000 0.0000 0.2948
Cu 0.0000 0.0000 0.7087

Output
DOS(E_F)   5.717 states/eV per cell
Uncorrected energy   -5.24 eV per atom
ΔH_f (0 K)   137 meV/atom

---

4.
This record from Alexandria describes TbNdErIn after structural relaxation. The functional is PBE-GGA.

a b c (Å): 7.7608 7.7608 7.7608
angles (deg): 90.00 90.00 90.00
Space group F-43m (No. 216)
Symmetry-distinct sites (fractional):
Tb 0.0000 0.0000 0.0000
Nd 0.2500 0.2500 0.2500
Er 0.0000 0.0000 0.5000
In 0.2500 0.2500 0.7500

Output
DOS(E_F)   22.567 states/eV per cell
Uncorrected energy   -4.27 eV per atom
ΔH_f (0 K)   -93 meV/atom
Energy above the lowest structure with this stoichiometry   5.2 kJ per mole of atoms

---

Ρ values (in g/cm3) by entry order: 3.84 7.66 7.67 8.32.